1.
This record from the Alexandria database describes a relaxed structure of SrSb2Ir. The functional is PBE-GGA.

a b c (Å): 4.6176 4.6201 4.4496
angles (deg): 90.00 90.00 90.00
Last column: nearest neighbours and their distance in Å.
Positions (direct):
Sb: 0.5000 0.5000 0.0000  4 Ir 3.21, 4 Sr 3.21, 4 Sb 3.27
Sb: 0.0000 0.0000 0.0000  4 Sr 3.21, 4 Ir 3.21, 4 Sb 3.27
Ir: 0.0000 0.5000 0.5000  8 Sb 3.21, 4 Sr 3.27
Sr: 0.5000 0.0000 0.5000  8 Sb 3.21, 4 Ir 3.27

Raw formation energy, eV per atom: -0.048

***

2.
This record from the Alexandria database describes a relaxed structure of TaTl2Os. The functional is PBE-GGA.

a b c (Å): 4.5278 4.1670 4.1670
angles (deg): 90.00 90.00 90.00
Last column: nearest neighbours and their distance in Å.
Positions (direct):
Ta: 0.5000 0.0000 0.5000  4 Os 2.95, 8 Tl 3.08
Tl: 0.0000 0.5000 0.5000  4 Tl 2.95, 4 Os 3.08, 4 Ta 3.08
Tl: 0.0000 0.0000 0.0000  4 Tl 2.95, 4 Ta 3.08, 4 Os 3.08
Os: 0.5000 0.5000 0.0000  4 Ta 2.95, 8 Tl 3.08

Formation enthalpy at 0 K, eV/atom: 0.939

***

3.
This record from the Alexandria database describes a relaxed structure of Zn3Fe. The functional is PBE-GGA.

a b c (Å): 2.6871 2.6871 8.7322
angles (deg): 90.00 90.00 120.00
Last column: nearest neighbours and their distance in Å.
Positions (direct):
Fe: 0.0000 0.0000 0.0000  6 Zn 2.59, 6 Fe 2.69
Zn: 0.0000 0.0000 0.5000  12 Zn 2.69-2.76
Zn: 0.3333 0.6667 0.7620  3 Fe 2.59, 9 Zn 2.69-2.76
Zn: 0.3333 0.6667 0.2380  3 Fe 2.59, 9 Zn 2.69-2.76

Formation enthalpy at 0 K, eV/atom: 0.019

***

4.
This record from the Alexandria database describes a relaxed structure of MgMoPb. The functional is PBE-GGA.

a b c (Å): 7.4329 7.4329 7.4329
angles (deg): 156.53 156.53 33.43
Last column: nearest neighbours and their distance in Å.
Positions (direct):
Pb: 0.6816 0.6816 0.0000  4 Pb 3.02, 4 Mo 3.11
Mo: 0.3407 0.3407 0.0000  4 Mg 2.89, 4 Mo 3.02, 4 Pb 3.11
Mg: 0.9778 0.9778 0.0000  4 Mo 2.89, 4 Mg 3.02

Formation enthalpy at 0 K, eV/atom: 0.528